DFT (PBE) results for a relaxed structure of CaCe3Ir.

CIF file:
```
data_CaCe3Ir
_symmetry_space_group_name_H-M 'P m -3 m'
_symmetry_Int_Tables_number 221
_symmetry_space_group_name_Hall '-P 4 2 3'
_cell_length_a 5.585
_cell_length_b 5.585
_cell_length_c 5.585
_cell_angle_alpha 90.00
_cell_angle_beta 90.00
_cell_angle_gamma 90.00
loop_
_atom_site_label
_atom_site_type_symbol
_atom_site_fract_x
_atom_site_fract_y
_atom_site_fract_z
_atom_site_occupancy
Ca1 Ca 0.000 0.000 0.000 1
Ce1 Ce 0.000 0.500 0.500 1
Ir1 Ir 0.500 0.500 0.500 1
```

Output
* energy of formation: -0.1442 eV per atom